Entry from the Alexandria database: a geometry-optimized TeOsCl3 structure (PBE).

Unit cell a=4.8013 b=4.8013 c=4.8013 alpha=90.00 beta=90.00 gamma=90.00
Positions (direct):
Te 0.0000 0.0000 0.0000
Os 0.5000 0.5000 0.5000
Cl 0.0000 0.5000 0.5000
Cl 0.5000 0.0000 0.5000
Cl 0.5000 0.5000 0.0000

Values from the calculation:
**Relative energy among the computed polymorphs**: 0.00 kJ/mol of atoms
**E_form (uncorrected)**: 0.523 eV/atom
**Symmetry**: No. 221
**M_tot**: 0.0 μB/cell
**Calculated volume**: 110.7 Å³ per cell